# Rb2Mo4O13, optimized geometry, DFT PBE+U
data_Rb2Mo4O13
_cell_length_a 8.504
_cell_length_b 8.622
_cell_length_c 10.521
_cell_angle_alpha 107.26
_cell_angle_beta 104.02
_cell_angle_gamma 108.81
_symmetry_space_group_name_H-M 'P -1'
_symmetry_Int_Tables_number 2
loop_
_symmetry_equiv_pos_as_xyz
'x,y,z'
'-x,-y,-z'
loop_
_atom_site_label
_atom_site_type_symbol
_atom_site_fract_x
_atom_site_fract_y
_atom_site_fract_z
Rb1 Rb 0.176 0.227 0.300
Rb2 Rb 0.236 0.781 0.430
Mo1 Mo 0.281 0.211 0.713
Mo2 Mo 0.287 0.610 0.734
Mo3 Mo 0.321 0.509 0.047
Mo4 Mo 0.339 0.908 0.060
O1 O 0.106 0.650 0.660
O2 O 0.109 0.999 0.650
O3 O 0.155 0.355 0.665
O4 O 0.168 0.944 0.966
O5 O 0.193 0.292 0.906
O6 O 0.222 0.512 0.173
O7 O 0.225 0.640 0.943
O8 O 0.312 0.943 0.224
O9 O 0.370 0.192 0.578
O10 O 0.405 0.624 0.620
O11 O 0.452 0.865 0.885
O12 O 0.466 0.516 0.867
O13 O 0.476 0.218 0.857
# raw total energy = -6.69 eV/atom